DFT (GGA-PBE) results for Tb7PrEr4 after structural relaxation.

Computed properties:
V: 31.84 Å³ per atom
Polymorph energy (0 for the lowest one): 0.000 eV per atom
Space-group type: No. 2

Structure (POSCAR):
```
Tb7PrEr4
1.0
-5.033 5.012 1.010
-9.415 0.618 0.936
-0.697 -2.412 8.469
Pr Tb Er
1 7 4
direct
0.000 0.000 0.000
0.973 0.280 0.664
0.027 0.720 0.336
0.248 0.500 0.000
0.752 0.500 0.000
0.223 0.777 0.665
0.500 0.000 0.000
0.777 0.223 0.335
0.279 0.220 0.335
0.469 0.279 0.665
0.721 0.780 0.665
0.531 0.721 0.335
```

***

DFT (GGA-PBE) results for GaPtCl after structural relaxation.

Computed properties:
V: 26.53 Å³ per atom
Uncorrected formation energy: -2.0 eV/f.u.
Space-group type: No. 57

Structure (POSCAR):
```
GaPtCl
1.0
-2.375 1.816 -2.884
-5.364 0.249 4.574
3.346 9.767 3.392
Cl Ga Pt
4 4 4
direct
0.576 0.517 0.353
0.076 0.983 0.353
0.076 0.483 0.647
0.576 0.017 0.647
0.076 0.062 0.165
0.576 0.938 0.835
0.576 0.438 0.165
0.076 0.562 0.835
0.076 0.879 0.961
0.576 0.121 0.039
0.076 0.379 0.039
0.576 0.621 0.961
```

***

Which of these has the highest V? Tb7PrEr4

***

Which of these has the lowest V? GaPtCl

***

Copy entry 1 word for word.
DFT (GGA-PBE) results for Tb7PrEr4 after structural relaxation.

Computed properties:
V: 31.84 Å³ per atom
Polymorph energy (0 for the lowest one): 0.000 eV per atom
Space-group type: No. 2

Structure (POSCAR):
```
Tb7PrEr4
1.0
-5.033 5.012 1.010
-9.415 0.618 0.936
-0.697 -2.412 8.469
Pr Tb Er
1 7 4
direct
0.000 0.000 0.000
0.973 0.280 0.664
0.027 0.720 0.336
0.248 0.500 0.000
0.752 0.500 0.000
0.223 0.777 0.665
0.500 0.000 0.000
0.777 0.223 0.335
0.279 0.220 0.335
0.469 0.279 0.665
0.721 0.780 0.665
0.531 0.721 0.335
```